An optimized crystal structure of Dy3Ho2In2. Source: Alexandria via LeMat-Bulk, functional GGA-PBE.

```
Dy3Ho2In2
1.0
-1.130 0.794 4.999
-5.017 -0.074 -3.813
-0.683 -6.732 0.915
Dy Ho In
3 2 2
Cartesian
-3.845 -5.433 -0.006
0.000 0.000 0.000
-2.985 -0.579 2.107
-2.136 -4.130 2.863
-4.695 -1.882 -0.762
-1.643 -2.738 0.063
-5.187 -3.275 2.038
```

Calculated values
- energy of formation from the pure elements (meV per atom) = -257
- final energy (eV per atom) = -4.319
- energy above the lowest structure with this stoichiometry (eV per atom) = 0.0000
- ρ (g/cm³) = 8.548
- space group = C2/m (12)
- D(E_F) (states/eV/cell) = 7.46